1) # Dy2ScBe

A relaxed structure of Dy2ScBe (PBE, Alexandria via LeMat-Bulk).

Structure (extended XYZ):
```
4
Lattice="1.660 0.958 11.122 -1.660 0.958 11.122 0.000 -1.917 11.122" Properties=species:S:1:pos:R:3 pbc="T T T"
Dy 0.000 0.000 2.886
Dy 0.000 0.000 30.479
Sc 0.000 0.000 16.683
Be 0.000 0.000 0.000
```

Calculated values
Space-group type   R-3m, No. 166
Magnetization   0.00 μB per cell


2) # Dy2ScBe

A relaxed structure of Dy2ScBe (PBE, Alexandria via LeMat-Bulk).

Structure (extended XYZ):
```
4
Lattice="3.423 0.000 0.000 0.000 3.423 0.000 0.000 0.000 8.178" Properties=species:S:1:pos:R:3 pbc="T T T"
Dy 0.000 0.000 1.659
Dy 0.000 0.000 6.519
Sc 1.711 1.711 4.089
Be 1.711 1.711 0.000
```

Calculated values
Space-group type   P4/mmm, No. 123
Magnetization   0.00 μB per cell


Quick one: most stable of them? 2)


1) # DyScBe2

A relaxed structure of DyScBe2 (PBE, Alexandria via LeMat-Bulk).

Structure (extended XYZ):
```
4
Lattice="0.000 3.298 3.298 3.298 0.000 3.298 3.298 3.298 0.000" Properties=species:S:1:pos:R:3 pbc="T T T"
Dy 0.000 0.000 0.000
Sc 3.298 3.298 3.298
Be 1.649 1.649 1.649
Be 4.946 4.946 4.946
```

Calculated values
Space-group type   Fm-3m, No. 225
Magnetization   0.00 μB per cell


2) # DyScBe2

A relaxed structure of DyScBe2 (PBE, Alexandria via LeMat-Bulk).

Structure (extended XYZ):
```
4
Lattice="3.297 0.000 0.000 0.000 3.297 0.000 0.000 0.000 6.555" Properties=species:S:1:pos:R:3 pbc="T T T"
Dy 0.000 0.000 0.000
Sc 0.000 0.000 3.278
Be 1.648 1.648 1.894
Be 1.648 1.648 4.662
```

Calculated values
Space-group type   P4/mmm, No. 123
Magnetization   0.00 μB per cell


Quick one: most stable of them? 2)


1) # Dy2BeSi3

A relaxed structure of Dy2BeSi3 (PBE, Alexandria via LeMat-Bulk).

Structure (extended XYZ):
```
6
Lattice="3.942 0.000 0.000 0.000 4.035 0.000 0.000 0.000 6.759" Properties=species:S:1:pos:R:3 pbc="T T T"
Dy 0.000 0.000 0.000
Dy 1.971 0.000 3.381
Be 0.000 2.018 4.549
Si 0.000 2.018 2.361
Si 1.971 2.018 1.112
Si 1.971 2.018 5.537
```

Calculated values
Space-group type   Pmm2, No. 25
Magnetization   0.00 μB per cell


2) # Dy2BeSi3

A relaxed structure of Dy2BeSi3 (PBE, Alexandria via LeMat-Bulk).

Structure (extended XYZ):
```
12
Lattice="0.000 4.010 6.792 3.925 0.000 6.792 3.925 4.010 0.000" Properties=species:S:1:pos:R:3 pbc="T T T"
Dy 3.925 1.971 6.792
Dy 1.963 2.005 3.396
Dy 5.888 6.015 10.189
Dy 3.925 6.049 6.792
Be 3.925 4.010 4.532
Be 3.925 4.010 9.053
Si 3.925 4.010 2.344
Si 5.800 4.010 5.624
Si 5.800 4.010 7.961
Si 2.051 4.010 5.624
Si 2.051 4.010 7.961
Si 3.925 4.010 11.241
```

Calculated values
Space-group type   Fmmm, No. 69
Magnetization   0.00 μB per cell


Quick one: most stable of them? 2)


1) # TbDy2Be

A relaxed structure of TbDy2Be (PBE, Alexandria via LeMat-Bulk).

Structure (extended XYZ):
```
4
Lattice="1.715 0.990 11.395 -1.715 0.990 11.395 0.000 -1.980 11.395" Properties=species:S:1:pos:R:3 pbc="T T T"
Tb 0.000 0.000 0.000
Dy 0.000 0.000 14.213
Dy 0.000 0.000 19.971
Be 0.000 0.000 17.092
```

Calculated values
Space-group type   R-3m, No. 166
Magnetization   0.00 μB per cell


2) # TbDy2Be

A relaxed structure of TbDy2Be (PBE, Alexandria via LeMat-Bulk).

Structure (extended XYZ):
```
4
Lattice="3.468 0.000 0.000 0.000 3.468 0.000 0.000 0.000 8.549" Properties=species:S:1:pos:R:3 pbc="T T T"
Tb 0.000 0.000 0.000
Dy 1.734 1.734 2.618
Dy 1.734 1.734 5.931
Be 0.000 0.000 4.274
```

Calculated values
Space-group type   P4/mmm, No. 123
Magnetization   0.00 μB per cell


Quick one: most stable of them? 2)


1) # DyTm2Be

A relaxed structure of DyTm2Be (PBE, Alexandria via LeMat-Bulk).

Structure (extended XYZ):
```
4
Lattice="3.418 0.000 0.000 0.000 3.418 0.000 0.000 0.000 8.508" Properties=species:S:1:pos:R:3 pbc="T T T"
Dy 0.000 0.000 0.000
Tm 1.709 1.709 2.616
Tm 1.709 1.709 5.893
Be 0.000 0.000 4.254
```

Calculated values
Space-group type   P4/mmm, No. 123
Magnetization   0.00 μB per cell


2) # DyTm2Be

A relaxed structure of DyTm2Be (PBE, Alexandria via LeMat-Bulk).

Structure (extended XYZ):
```
4
Lattice="1.696 0.979 11.265 -1.696 0.979 11.265 0.000 -1.958 11.265" Properties=species:S:1:pos:R:3 pbc="T T T"
Dy 0.000 0.000 0.000
Tm 0.000 0.000 14.054
Tm 0.000 0.000 19.742
Be 0.000 0.000 16.898
```

Calculated values
Space-group type   R-3m, No. 166
Magnetization   0.00 μB per cell


Quick one: most stable of them? 1)


1) # DyYBe

A relaxed structure of DyYBe (PBE, Alexandria via LeMat-Bulk).

Structure (extended XYZ):
```
3
Lattice="-1.734 1.734 6.020 1.734 -1.734 6.020 1.734 1.734 -6.020" Properties=species:S:1:pos:R:3 pbc="T T T"
Dy 0.000 0.000 0.000
Y 0.000 0.000 8.792
Be 0.000 0.000 4.407
```

Calculated values
Space-group type   I4mm, No. 107
Magnetization   0.00 μB per cell


2) # DyYBe

A relaxed structure of DyYBe (PBE, Alexandria via LeMat-Bulk).

Structure (extended XYZ):
```
12
Lattice="9.553 0.000 0.000 0.000 4.776 0.000 0.000 0.000 6.812" Properties=species:S:1:pos:R:3 pbc="T T T"
Dy 1.155 1.194 0.012
Dy 3.621 3.582 3.418
Dy 5.931 1.194 3.394
Dy 8.398 3.582 6.800
Y 1.226 1.194 3.418
Y 3.550 3.582 0.012
Y 6.003 1.194 6.800
Y 8.326 3.582 3.394
Be 1.191 3.582 1.707
Be 3.585 1.194 5.113
Be 5.968 3.582 1.699
Be 8.361 1.194 5.104
```

Calculated values
Space-group type   Pnma, No. 62
Magnetization   0.00 μB per cell


Quick one: most stable of them? 1)